# 1
# ZrAlRu

An optimized crystal structure of ZrAlRu (PBE-GGA, Alexandria).

Values from the calculation:
Formation energy from the elements, kJ/mol of formula units: -151
Space-group type: No. 156

Unit cell a=4.5328 b=4.5328 c=5.6699 alpha=90.00 beta=90.00 gamma=120.00
Sites, in units of the cell vectors:
Al (0.6667, 0.3333, 0.8738)
Ru (0.3333, 0.6667, 0.5402)
Zr (0.0000, 0.0000, 0.7054)
Zr (0.6667, 0.3333, 0.3580)
Al (0.3333, 0.6667, 0.0471)
Ru (0.0000, 0.0000, 0.1955)

---

# 2
# Zr2AlRu

An optimized crystal structure of Zr2AlRu (PBE-GGA, Alexandria).

Values from the calculation:
Formation energy from the elements, kJ/mol of formula units: -111
Space-group type: No. 216

Unit cell a=4.6652 b=4.6652 c=4.6652 alpha=60.00 beta=60.00 gamma=60.00
Site moments in Bohr magnetons follow the coordinates.
Sites, in units of the cell vectors:
Zr (0.0000, 0.0000, 0.0000)  0.15
Al (0.5000, 0.5000, 0.5000)  0.00
Ru (0.7500, 0.7500, 0.7500)  0.01
Zr (0.2500, 0.2500, 0.2500)  0.41

---

# 3
# ZrAl2Ru

An optimized crystal structure of ZrAl2Ru (PBE-GGA, Alexandria).

Values from the calculation:
Formation energy from the elements, kJ/mol of formula units: -55
Space-group type: No. 160

Unit cell a=8.9648 b=8.9648 c=8.9648 alpha=19.38 beta=19.38 gamma=19.38
Site moments in Bohr magnetons follow the coordinates.
Sites, in units of the cell vectors:
Al (0.2435, 0.2435, 0.2435)  0.00
Ru (0.5051, 0.5051, 0.5051)  0.21
Al (0.9954, 0.9954, 0.9954)  0.00
Zr (0.7560, 0.7560, 0.7560)  0.00

---

# 4
# ZrAlRu2

An optimized crystal structure of ZrAlRu2 (PBE-GGA, Alexandria).

Values from the calculation:
Formation energy from the elements, kJ/mol of formula units: -80
Space-group type: No. 166

Unit cell a=8.0525 b=8.0525 c=8.0525 alpha=22.29 beta=22.29 gamma=22.29
Sites, in units of the cell vectors:
Al (0.7500, 0.7500, 0.7500)
Ru (0.4958, 0.4958, 0.4958)
Zr (0.2500, 0.2500, 0.2500)
Ru (0.0042, 0.0042, 0.0042)

---

# 5
# ZrAlRu2

An optimized crystal structure of ZrAlRu2 (PBE-GGA, Alexandria).

Values from the calculation:
Formation energy from the elements, kJ/mol of formula units: 21
Space-group type: No. 122

Unit cell a=6.8249 b=6.8249 c=5.6492 alpha=52.84 beta=52.84 gamma=90.00
Sites, in units of the cell vectors:
Ru (0.5972, 0.1250, 0.2500)
Al (0.5000, 0.5000, 0.0000)
Ru (0.3750, 0.4028, 0.7500)
Zr (0.0000, 0.0000, 0.0000)
Ru (0.8750, 0.8472, 0.7500)
Zr (0.7500, 0.2500, 0.5000)
Ru (0.1528, 0.6250, 0.2500)
Al (0.2500, 0.7500, 0.5000)

---

# 6
# ZrAlRu2

An optimized crystal structure of ZrAlRu2 (PBE-GGA, Alexandria).

Values from the calculation:
Formation energy from the elements, kJ/mol of formula units: -190
Space-group type: No. 44

Unit cell a=5.3224 b=5.3224 c=5.3224 alpha=144.71 beta=132.88 gamma=60.22
Sites, in units of the cell vectors:
Ru (0.0035, 0.0035, 0.0000)
Ru (0.7543, 0.2543, 0.5000)
Al (0.2375, 0.7375, 0.5000)
Zr (0.5047, 0.5047, 0.0000)

---

# 7
# ZrAlRu3

An optimized crystal structure of ZrAlRu3 (PBE-GGA, Alexandria).

Values from the calculation:
Formation energy from the elements, kJ/mol of formula units: 735
Space-group type: No. 221
Energy above the lowest structure with this stoichiometry, meV per atom: 1144

Unit cell a=4.7652 b=4.7652 c=4.7652 alpha=90.00 beta=90.00 gamma=90.00
Site moments in Bohr magnetons follow the coordinates.
Sites, in units of the cell vectors:
Ru (0.0000, 0.0000, 0.5000)  1.18
Ru (0.0000, 0.5000, 0.0000)  1.03
Ru (0.5000, 0.0000, 0.0000)  0.80
Al (0.5000, 0.5000, 0.5000)  -0.01
Zr (0.0000, 0.0000, 0.0000)  -0.14

---

# 8
# ZrAl2Ru

An optimized crystal structure of ZrAl2Ru (PBE-GGA, Alexandria).

Values from the calculation:
Formation energy from the elements, kJ/mol of formula units: -181
Space-group type: No. 123

Unit cell a=3.9585 b=3.9585 c=4.2199 alpha=90.00 beta=90.00 gamma=90.00
Sites, in units of the cell vectors:
Zr (0.0000, 0.5000, 0.5000)
Al (0.0000, 0.0000, 0.0000)
Ru (0.5000, 0.0000, 0.5000)
Al (0.5000, 0.5000, 0.0000)

---

# 9
# Zr3AlRu

An optimized crystal structure of Zr3AlRu (PBE-GGA, Alexandria).

Values from the calculation:
Formation energy from the elements, kJ/mol of formula units: 140
Space-group type: No. 221
Energy above the lowest structure with this stoichiometry, meV per atom: 0

Unit cell a=4.9814 b=4.9814 c=4.9814 alpha=90.00 beta=90.00 gamma=90.00
Sites, in units of the cell vectors:
Zr (0.5000, 0.0000, 0.0000)
Al (0.5000, 0.5000, 0.5000)
Ru (0.0000, 0.0000, 0.0000)
Zr (0.0000, 0.0000, 0.5000)
Zr (0.0000, 0.5000, 0.0000)

---

# 10
# ZrAlRu2

An optimized crystal structure of ZrAlRu2 (PBE-GGA, Alexandria).

Values from the calculation:
Formation energy from the elements, kJ/mol of formula units: -97
Space-group type: No. 99

Unit cell a=2.8858 b=2.8858 c=7.7764 alpha=90.00 beta=90.00 gamma=90.00
Sites, in units of the cell vectors:
Al (0.5000, 0.5000, 0.7877)
Ru (0.5000, 0.5000, 0.2115)
Ru (0.0000, 0.0000, 0.0019)
Zr (0.0000, 0.0000, 0.4989)

---

# 11
# ZrAlRu2

An optimized crystal structure of ZrAlRu2 (PBE-GGA, Alexandria).

Values from the calculation:
Formation energy from the elements, kJ/mol of formula units: -135
Space-group type: No. 71

Unit cell a=5.0036 b=5.0036 c=5.0036 alpha=141.90 beta=122.08 gamma=71.46
Sites, in units of the cell vectors:
Zr (0.7500, 0.2500, 0.5000)
Ru (0.0097, 0.0097, 0.0000)
Al (0.2500, 0.7500, 0.5000)
Ru (0.4903, 0.4903, 0.0000)

---

# 12
# Zr2AlRu

An optimized crystal structure of Zr2AlRu (PBE-GGA, Alexandria).

Values from the calculation:
Formation energy from the elements, kJ/mol of formula units: -176
Space-group type: No. 47

Unit cell a=3.3621 b=3.4028 c=7.3157 alpha=62.27 beta=90.00 gamma=90.00
Sites, in units of the cell vectors:
Zr (0.0000, 0.4878, 0.5121)
Zr (0.0000, 0.0122, 0.9879)
Al (0.5000, 0.2500, 0.2500)
Ru (0.5000, 0.7500, 0.7500)

---

# 13
# ZrAl2Ru

An optimized crystal structure of ZrAl2Ru (PBE-GGA, Alexandria).

Values from the calculation:
Formation energy from the elements, kJ/mol of formula units: -148
Space-group type: No. 12

Unit cell a=4.9874 b=4.9874 c=4.7492 alpha=73.55 beta=73.55 gamma=36.77
Sites, in units of the cell vectors:
Al (0.4807, 0.4807, 0.5310)
Zr (0.2500, 0.2500, 0.2500)
Ru (0.7500, 0.7500, 0.7500)
Al (0.0193, 0.0193, 0.9690)

---

# 14
# Zr2AlRu2

An optimized crystal structure of Zr2AlRu2 (PBE-GGA, Alexandria).

Values from the calculation:
Formation energy from the elements, kJ/mol of formula units: -214
Space-group type: No. 127

Unit cell a=6.5596 b=6.5596 c=4.2033 alpha=90.00 beta=90.00 gamma=90.00
Sites, in units of the cell vectors:
Zr (0.1813, 0.6813, 0.5000)
Zr (0.8187, 0.3187, 0.5000)
Ru (0.3640, 0.8640, 0.0000)
Zr (0.3187, 0.1813, 0.5000)
Zr (0.6813, 0.8187, 0.5000)
Ru (0.6360, 0.1360, 0.0000)
Ru (0.1360, 0.3640, 0.0000)
Al (0.0000, 0.0000, 0.0000)
Ru (0.8640, 0.6360, 0.0000)
Al (0.5000, 0.5000, 0.0000)

---

# 15
# ZrAlRu

An optimized crystal structure of ZrAlRu (PBE-GGA, Alexandria).

Values from the calculation:
Formation energy from the elements, kJ/mol of formula units: -154
Space-group type: No. 139

Unit cell a=3.9705 b=3.9705 c=7.2456 alpha=105.90 beta=105.90 gamma=90.00
Sites, in units of the cell vectors:
Ru (0.8764, 0.8764, 0.7528)
Zr (0.3237, 0.3237, 0.6474)
Zr (0.6763, 0.6763, 0.3526)
Ru (0.1236, 0.1236, 0.2472)
Al (0.0000, 0.5000, 0.0000)
Al (0.5000, 0.0000, 0.0000)

---

# 16
# ZrAl2Ru

An optimized crystal structure of ZrAl2Ru (PBE-GGA, Alexandria).

Values from the calculation:
Formation energy from the elements, kJ/mol of formula units: -154
Space-group type: No. 225

Unit cell a=4.5057 b=4.5057 c=4.5057 alpha=60.00 beta=60.00 gamma=60.00
Sites, in units of the cell vectors:
Al (0.7500, 0.7500, 0.7500)
Zr (0.0000, 0.0000, 0.0000)
Ru (0.5000, 0.5000, 0.5000)
Al (0.2500, 0.2500, 0.2500)

---

# 17
# Al4S

An optimized crystal structure of Al4S (PBE-GGA, Alexandria).

Values from the calculation:
Formation energy without anion corrections, meV/atom: 455
Space-group type: No. 221

Unit cell a=4.6694 b=4.6694 c=4.6694 alpha=90.00 beta=90.00 gamma=90.00
Sites, in units of the cell vectors:
Al (0.0000, 0.5000, 0.5000)
Al (0.5000, 0.5000, 0.0000)
Al (0.0000, 0.0000, 0.0000)
S (0.5000, 0.5000, 0.5000)
Al (0.5000, 0.0000, 0.5000)

---

# 18
# Al5S8

An optimized crystal structure of Al5S8 (PBE-GGA, Alexandria).

Values from the calculation:
Formation energy without anion corrections, meV/atom: -951
Space-group type: No. 216

Unit cell a=7.0245 b=7.0245 c=7.0245 alpha=60.00 beta=60.00 gamma=60.00
Sites, in units of the cell vectors:
S (0.8713, 0.8713, 0.8713)
S (0.8713, 0.8713, 0.3861)
Al (0.2500, 0.2500, 0.2500)
S (0.3861, 0.8713, 0.8713)
S (0.3837, 0.8490, 0.3837)
Al (0.6336, 0.6336, 0.0993)
Al (0.0993, 0.6336, 0.6336)
S (0.3837, 0.3837, 0.3837)
Al (0.6336, 0.0993, 0.6336)
S (0.3837, 0.3837, 0.8490)
Al (0.6336, 0.6336, 0.6336)
S (0.8713, 0.3861, 0.8713)
S (0.8490, 0.3837, 0.3837)

---

# 19
# AlS5

An optimized crystal structure of AlS5 (PBE-GGA, Alexandria).

Values from the calculation:
Formation energy without anion corrections, meV/atom: -74
Space-group type: No. 11

Unit cell a=3.1922 b=7.3481 c=12.6029 alpha=90.00 beta=90.00 gamma=102.59
Sites, in units of the cell vectors:
S (0.9389, 0.8794, 0.6680)
S (0.7759, 0.5516, 0.0515)
S (0.2241, 0.4484, 0.5515)
S (0.0611, 0.1206, 0.1680)
Al (0.3238, 0.6470, 0.7500)
S (0.0611, 0.1206, 0.3320)
S (0.7759, 0.5516, 0.4485)
S (0.2241, 0.4484, 0.9485)
S (0.7107, 0.4211, 0.7500)
S (0.9389, 0.8794, 0.8320)
Al (0.6762, 0.3530, 0.2500)
S (0.2893, 0.5789, 0.2500)

---

# 20
# AlS5

An optimized crystal structure of AlS5 (PBE-GGA, Alexandria).

Values from the calculation:
Formation energy without anion corrections, meV/atom: -177
Space-group type: No. 11

Unit cell a=3.4452 b=7.7874 c=11.5347 alpha=90.00 beta=90.00 gamma=89.42
Sites, in units of the cell vectors:
Al (0.7539, 0.3741, 0.7500)
S (0.2577, 0.2084, 0.8440)
S (0.2577, 0.2084, 0.6560)
S (0.2517, 0.3910, 0.3854)
S (0.7483, 0.6090, 0.6146)
S (0.7423, 0.7916, 0.3440)
Al (0.2461, 0.6259, 0.2500)
S (0.7483, 0.6090, 0.8854)
S (0.7444, 0.7739, 0.7500)
S (0.2517, 0.3910, 0.1146)
S (0.2556, 0.2261, 0.2500)
S (0.7423, 0.7916, 0.1560)